A plane-wave DFT calculation with meta-GGA SCAN was carried out for TaZn2Re at its PBEsol-relaxed geometry.

Output
* offset from the most stable computed form: 0.039 eV/atom
* theoretical density: 14.02 g/cm³
* DFT formation energy: 66.5 meV/atom
* electronic total energy: -1.51081 Ha/atom
* N(E_F): 1.6 states/eV/f.u.

a b c (Å): 2.661 4.154 5.336
angles (deg): 90.00 90.00 90.00
Fractional positions:
Zn1 0.000 0.000 0.241
Zn2 0.000 0.000 0.759
Ta1 0.500 0.500 0.500
Re1 0.500 0.500 0.000